w) This record from Alexandria via LeMat-Bulk describes a relaxed structure of Cu2IO. The functional is PBE-GGA.

Output
V = 69.93 Å³/f.u.

Lattice parameters (Å, degrees): 3.438 3.438 7.114 76.02 76.02 60.00
Fractional coordinates of all 4 atoms:
Cu 0.125 0.125 0.624
I 0.000 0.000 0.000
Cu 0.875 0.875 0.376
O 0.500 0.500 0.500

x) This record from Alexandria via LeMat-Bulk describes a relaxed structure of Cu2IO. The functional is PBE-GGA.

Output
V = 72.57 Å³/f.u.

Lattice parameters (Å, degrees): 5.183 5.183 6.529 66.61 66.61 90.00
Fractional coordinates of all 8 atoms:
Cu 0.375 0.534 0.750
Cu 0.284 0.625 0.250
I 0.750 0.250 0.500
Cu 0.875 0.716 0.750
O 0.500 0.500 0.000
Cu 0.466 0.125 0.250
I 0.000 0.000 0.000
O 0.250 0.750 0.500

Most stable: x)

w) This record from Alexandria via LeMat-Bulk describes a relaxed structure of CuI3O. The functional is PBE-GGA.

Output
V = 147.59 Å³/f.u.

Lattice parameters (Å, degrees): 5.285 5.285 5.285 90.00 90.00 90.00
Fractional coordinates of all 5 atoms:
I 0.500 0.000 0.000
I 0.000 0.000 0.500
Cu 0.000 0.000 0.000
O 0.500 0.500 0.500
I 0.000 0.500 0.000

x) This record from Alexandria via LeMat-Bulk describes a relaxed structure of CuI3O. The functional is PBE-GGA.

Output
V = 131.26 Å³/f.u.

Lattice parameters (Å, degrees): 5.082 5.082 5.082 90.00 90.00 90.00
Fractional coordinates of all 5 atoms:
I 0.500 0.000 0.000
Cu 0.500 0.500 0.500
I 0.000 0.000 0.500
I 0.000 0.500 0.000
O 0.000 0.000 0.000

Most stable: x)

w) This record from Alexandria via LeMat-Bulk describes a relaxed structure of Cu3IO. The functional is PBE-GGA.

Output
V = 75.45 Å³/f.u.

Lattice parameters (Å, degrees): 4.226 4.226 4.226 90.00 90.00 90.00
Fractional coordinates of all 5 atoms:
I 0.500 0.500 0.500
Cu 0.000 0.000 0.500
Cu 0.000 0.500 0.000
O 0.000 0.000 0.000
Cu 0.500 0.000 0.000

x) This record from Alexandria via LeMat-Bulk describes a relaxed structure of Cu3IO. The functional is PBE-GGA.

Output
V = 111.62 Å³/f.u.

Lattice parameters (Å, degrees): 4.815 4.815 4.815 90.00 90.00 90.00
Fractional coordinates of all 5 atoms:
Cu 0.500 0.000 0.000
Cu 0.000 0.000 0.500
I 0.000 0.000 0.000
Cu 0.000 0.500 0.000
O 0.500 0.500 0.500

Most stable: w)

w) This record from Alexandria via LeMat-Bulk describes a relaxed structure of CuI2O6. The functional is PBE-GGA.

Output
V = 135.93 Å³/f.u.

Lattice parameters (Å, degrees): 6.341 5.110 8.398 87.58 90.00 90.00
Fractional coordinates of all 18 atoms:
O 0.750 0.635 0.616
I 0.250 0.465 0.160
O 0.033 0.252 0.102
O 0.467 0.252 0.102
O 0.470 0.266 0.691
Cu 0.000 0.500 0.500
I 0.750 0.961 0.243
I 0.750 0.535 0.840
O 0.967 0.748 0.898
O 0.030 0.266 0.691
O 0.970 0.734 0.309
O 0.250 0.815 0.597
O 0.750 0.185 0.403
I 0.250 0.039 0.757
O 0.530 0.734 0.309
Cu 0.500 0.500 0.500
O 0.250 0.365 0.384
O 0.533 0.748 0.898

x) This record from Alexandria via LeMat-Bulk describes a relaxed structure of CuI2O6. The functional is PBE-GGA.

Output
V = 138.74 Å³/f.u.

Lattice parameters (Å, degrees): 5.379 9.550 9.705 123.32 87.67 91.29
Fractional coordinates of all 27 atoms:
O 0.298 0.463 0.265
O 0.371 0.131 0.599
O 0.805 0.209 0.063
I 0.968 0.651 0.681
O 0.784 0.851 0.780
O 0.716 0.523 0.428
O 0.647 0.590 0.124
I 0.510 0.996 0.658
O 0.775 0.228 0.459
Cu 0.485 0.676 0.342
O 0.291 0.814 0.556
O 0.333 0.456 0.864
I 0.950 0.026 0.331
Cu 0.975 0.991 0.989
I 0.000 0.310 0.976
I 0.484 0.352 0.336
O 0.205 0.745 0.179
O 0.775 0.543 0.759
O 0.235 0.143 0.902
Cu 0.565 0.336 0.666
O 0.834 0.234 0.786
O 0.707 0.877 0.461
O 0.722 0.923 0.170
O 0.140 0.086 0.205
I 0.457 0.669 0.022
O 0.309 0.408 0.527
O 0.160 0.771 0.871

y) This record from Alexandria via LeMat-Bulk describes a relaxed structure of CuI2O6. The functional is PBE-GGA.

Output
V = 139.15 Å³/f.u.

Lattice parameters (Å, degrees): 3.992 5.226 7.843 68.17 75.26 67.55
Fractional coordinates of all 9 atoms:
Cu 0.000 0.500 0.500
O 0.353 0.714 0.581
I 0.801 0.197 0.201
O 0.647 0.286 0.419
O 0.702 0.759 0.837
O 0.298 0.241 0.163
O 0.970 0.794 0.266
O 0.030 0.206 0.734
I 0.199 0.803 0.799

Most stable: w)